# 1
Material: Na4Zr3PtS8
Method: DFT, GGA-PBE
State: optimized geometry

Structure (POSCAR):
```
Na4Zr3PtS8
1.0
6.677 -3.620 0.000
6.677 3.620 0.000
-4.135 0.000 6.813
Na Zr Pt S
4 3 1 8
direct
0.000 0.000 0.000 Na
0.000 0.500 0.000 Na
0.500 0.000 0.000 Na
0.500 0.500 0.000 Na
0.000 0.000 0.500 Zr
0.000 0.500 0.500 Zr
0.500 0.000 0.500 Zr
0.500 0.500 0.500 Pt
0.226 0.226 0.252 S
0.233 0.233 0.721 S
0.255 0.714 0.703 S
0.286 0.745 0.297 S
0.714 0.255 0.703 S
0.745 0.286 0.297 S
0.767 0.767 0.279 S
0.774 0.774 0.748 S
```

Computed properties:
Total moment = 0.000 μB per atom
DOS at the Fermi energy = 5.6 states/eV per cell
Final energy = -5.621 eV per atom

---

# 2
Material: Na2SbPt
Method: DFT, GGA-PBE
State: optimized geometry

Structure (POSCAR):
```
Na2SbPt
1.0
2.308 1.333 5.167
-2.308 1.333 5.167
0.000 -2.665 5.167
Na Sb Pt
2 1 1
direct
0.000 0.000 0.000 Na
0.227 0.227 0.227 Na
0.447 0.447 0.447 Sb
0.791 0.791 0.791 Pt
```

Computed properties:
Total moment = 0.000 μB per atom
DOS at the Fermi energy = 2.1 states/eV per cell
Final energy = -3.630 eV per atom